VASP calculation (PBE) on crystalline Ni4SnPt at its relaxed geometry.

a = 4.810 Å, b = 4.810 Å, c = 4.810 Å
α = 60.00°, β = 60.00°, γ = 60.00°
Positions (direct):
Ni  0.125  0.125  0.125
Ni  0.125  0.125  0.626
Ni  0.125  0.626  0.125
Ni  0.626  0.125  0.125
Sn  0.500  0.500  0.500
Pt  0.750  0.750  0.750

Values from the calculation:
Excess energy over the best structure of this formula in the dataset in eV/atom: 0.040
Fermi-level density of states in states/eV/cell: 6.7
Total magnetic moment in Bohr magnetons per cell: 1.32
E_tot in eV/atom: -5.5927



VASP calculation (PBE) on crystalline Sb2Te3 at its relaxed geometry.

a = 12.026 Å, b = 12.026 Å, c = 6.343 Å
α = 91.08°, β = 91.08°, γ = 21.00°
Positions (direct):
Sb  0.003  0.003  0.249
Sb  0.205  0.205  0.251
Sb  0.795  0.795  0.749
Sb  0.997  0.997  0.751
Te  0.206  0.206  0.740
Te  0.396  0.396  0.746
Te  0.416  0.416  0.248
Te  0.584  0.584  0.752
Te  0.604  0.604  0.254
Te  0.794  0.794  0.260

Values from the calculation:
Fermi-level density of states in states/eV/cell: 3.2
Total magnetic moment in Bohr magnetons per cell: 0.00
E_form (uncorrected) in kJ/mol of atoms: -5
E_tot in eV/atom: -3.5821



VASP calculation (PBE) on crystalline Zn2IO5 at its relaxed geometry.

a = 8.842 Å, b = 6.721 Å, c = 5.596 Å
α = 90.00°, β = 123.27°, γ = 90.00°
Positions (direct):
Zn  0.000  0.224  0.000
Zn  0.000  0.776  0.000
Zn  0.500  0.276  0.000
Zn  0.500  0.724  0.000
I  0.334  0.500  0.285
I  0.834  0.000  0.285
O  0.060  0.000  0.299
O  0.069  0.500  0.144
O  0.272  0.269  0.062
O  0.272  0.731  0.062
O  0.421  0.500  0.727
O  0.560  0.500  0.299
O  0.569  0.000  0.144
O  0.772  0.231  0.062
O  0.772  0.769  0.062
O  0.921  0.000  0.727

Values from the calculation:
Fermi-level density of states in states/eV/cell: 4.2
Total magnetic moment in Bohr magnetons per cell: 0.00
E_form (uncorrected) in kJ/mol of atoms: -62
E_tot in eV/atom: -4.2557



VASP calculation (PBE) on crystalline Li2TbPr2Ga2 at its relaxed geometry.

a = 9.389 Å, b = 9.389 Å, c = 9.389 Å
α = 28.73°, β = 28.73°, γ = 28.73°
Positions (direct):
Li  0.111  0.111  0.111
Li  0.889  0.889  0.889
Tb  0.500  0.500  0.500
Pr  0.375  0.375  0.375
Pr  0.625  0.625  0.625
Ga  0.233  0.233  0.233
Ga  0.767  0.767  0.767

Values from the calculation:
Fermi-level density of states in states/eV/cell: 5.9
Total magnetic moment in Bohr magnetons per cell: 0.00
E_tot in eV/atom: -3.7269



VASP calculation (PBE) on crystalline CrAuN3 at its relaxed geometry.

a = 3.942 Å, b = 3.942 Å, c = 3.942 Å
α = 90.00°, β = 90.00°, γ = 90.00°
Positions (direct):
Cr  0.000  0.000  0.000
Au  0.500  0.500  0.500
N  0.000  0.500  0.500
N  0.500  0.000  0.500
N  0.500  0.500  0.000

Values from the calculation:
Fermi-level density of states in states/eV/cell: 6.8
Total magnetic moment in Bohr magnetons per cell: 0.32
E_form (uncorrected) in kJ/mol of atoms: 259
E_tot in eV/atom: -4.8892



VASP calculation (PBE) on crystalline TmPu2Te3 at its relaxed geometry.

a = 4.382 Å, b = 6.220 Å, c = 13.163 Å
α = 90.00°, β = 90.00°, γ = 90.00°
Positions (direct):
Tm  0.000  0.000  0.000
Tm  0.500  0.500  0.500
Pu  0.000  0.000  0.332
Pu  0.000  0.000  0.668
Pu  0.500  0.500  0.168
Pu  0.500  0.500  0.832
Te  0.000  0.500  0.000
Te  0.000  0.500  0.338
Te  0.000  0.500  0.662
Te  0.500  0.000  0.162
Te  0.500  0.000  0.500
Te  0.500  0.000  0.838

Values from the calculation:
Fermi-level density of states in states/eV/cell: 44.3
Total magnetic moment in Bohr magnetons per cell: 23.80
E_form (uncorrected) in kJ/mol of atoms: -109
E_tot in eV/atom: -8.2262



VASP calculation (PBE) on crystalline BC3 at its relaxed geometry.

a = 6.864 Å, b = 6.864 Å, c = 4.537 Å
α = 108.05°, β = 108.05°, γ = 21.76°
Positions (direct):
B  0.000  0.000  0.000
B  0.053  0.053  0.620
B  0.715  0.715  0.997
C  0.173  0.173  0.770
C  0.215  0.215  0.493
C  0.338  0.338  0.615
C  0.381  0.381  0.323
C  0.501  0.501  0.452
C  0.554  0.554  0.174
C  0.673  0.673  0.294
C  0.844  0.844  0.123
C  0.878  0.878  0.813

Values from the calculation:
Excess energy over the best structure of this formula in the dataset in eV/atom: 0.082
Fermi-level density of states in states/eV/cell: 1.1
Total magnetic moment in Bohr magnetons per cell: 0.00
E_tot in eV/atom: -8.2649



VASP calculation (PBE) on crystalline Ti2CuAu2 at its relaxed geometry.

a = 7.888 Å, b = 7.888 Å, c = 2.850 Å
α = 90.00°, β = 90.00°, γ = 90.00°
Positions (direct):
Ti  0.163  0.337  0.000
Ti  0.337  0.837  0.000
Ti  0.663  0.163  0.000
Ti  0.837  0.663  0.000
Cu  0.000  0.000  0.000
Cu  0.500  0.500  0.000
Au  0.134  0.634  0.500
Au  0.366  0.134  0.500
Au  0.634  0.866  0.500
Au  0.866  0.366  0.500

Values from the calculation:
Excess energy over the best structure of this formula in the dataset in eV/atom: 0.312
Fermi-level density of states in states/eV/cell: 8.3
Total magnetic moment in Bohr magnetons per cell: 0.00
E_tot in eV/atom: -5.2677



VASP calculation (PBE) on crystalline ScCoSb2 at its relaxed geometry.

a = 4.199 Å, b = 3.875 Å, c = 5.446 Å
α = 90.00°, β = 109.15°, γ = 90.00°
Positions (direct):
Sc  0.000  0.000  0.000
Co  0.000  0.500  0.500
Sb  0.500  0.000  0.500
Sb  0.500  0.500  0.000

Values from the calculation:
Fermi-level density of states in states/eV/cell: 5.4
Total magnetic moment in Bohr magnetons per cell: 1.12
E_form (uncorrected) in kJ/mol of atoms: -12
E_tot in eV/atom: -5.5466



VASP calculation (PBE) on crystalline Ba6PPt2 at its relaxed geometry.

a = 10.330 Å, b = 10.330 Å, c = 9.440 Å
α = 102.64°, β = 102.64°, γ = 26.04°
Positions (direct):
Ba  0.006  0.006  0.234
Ba  0.327  0.327  0.433
Ba  0.338  0.338  0.895
Ba  0.662  0.662  0.105
Ba  0.673  0.673  0.567
Ba  0.994  0.994  0.766
P  0.500  0.500  0.000
Pt  0.166  0.166  0.336
Pt  0.834  0.834  0.664

Values from the calculation:
Fermi-level density of states in states/eV/cell: 4.4
Total magnetic moment in Bohr magnetons per cell: 0.00
E_tot in eV/atom: -3.9120



VASP calculation (PBE) on crystalline BaSm2C2N6 at its relaxed geometry.

a = 5.968 Å, b = 5.968 Å, c = 6.310 Å
α = 110.47°, β = 110.47°, γ = 64.04°
Positions (direct):
Ba  0.000  0.000  0.000
Sm  0.327  0.327  0.688
Sm  0.673  0.673  0.312
C  0.330  0.330  0.240
C  0.670  0.670  0.760
N  0.101  0.462  0.299
N  0.420  0.420  0.131
N  0.462  0.101  0.299
N  0.538  0.899  0.701
N  0.580  0.580  0.869
N  0.899  0.538  0.701

Values from the calculation:
Fermi-level density of states in states/eV/cell: 4.0
Total magnetic moment in Bohr magnetons per cell: 1.39
E_form (uncorrected) in kJ/mol of atoms: -52
E_tot in eV/atom: -7.7896



VASP calculation (PBE) on crystalline LaTb2Dy6Er3 at its relaxed geometry.

a = 6.156 Å, b = 6.156 Å, c = 11.786 Å
α = 94.98°, β = 94.98°, γ = 119.97°
Positions (direct):
La  0.000  0.000  0.000
Tb  0.333  0.667  0.000
Tb  0.667  0.333  0.000
Dy  0.085  0.420  0.254
Dy  0.249  0.249  0.746
Dy  0.420  0.085  0.254
Dy  0.580  0.915  0.746
Dy  0.751  0.751  0.254
Dy  0.915  0.580  0.746
Er  0.167  0.833  0.500
Er  0.500  0.500  0.500
Er  0.833  0.167  0.500

Values from the calculation:
Fermi-level density of states in states/eV/cell: 16.1
Total magnetic moment in Bohr magnetons per cell: 0.00
E_tot in eV/atom: -4.6029



VASP calculation (PBE) on crystalline Zn2CrCoSb at its relaxed geometry.

a = 5.100 Å, b = 5.100 Å, c = 5.133 Å
α = 90.00°, β = 90.00°, γ = 90.00°
Positions (direct):
Zn  0.000  0.500  0.000
Zn  0.500  0.000  0.000
Cr  0.000  0.000  0.500
Co  0.500  0.500  0.500
Sb  0.000  0.000  0.000

Values from the calculation:
Fermi-level density of states in states/eV/cell: 7.1
Total magnetic moment in Bohr magnetons per cell: 6.19
E_form (uncorrected) in kJ/mol of atoms: 130
E_tot in eV/atom: -3.3308



VASP calculation (PBE) on crystalline Tb5Ce3Sb8 at its relaxed geometry.

a = 8.873 Å, b = 8.873 Å, c = 8.873 Å
α = 60.02°, β = 60.02°, γ = 60.02°
Positions (direct):
Tb  0.000  0.000  0.000
Tb  0.000  0.500  0.500
Tb  0.500  0.000  0.500
Tb  0.500  0.500  0.000
Tb  0.500  0.500  0.500
Ce  0.000  0.000  0.500
Ce  0.000  0.500  0.000
Ce  0.500  0.000  0.000
Sb  0.250  0.250  0.747
Sb  0.250  0.747  0.250
Sb  0.252  0.252  0.252
Sb  0.253  0.750  0.750
Sb  0.747  0.250  0.250
Sb  0.748  0.748  0.748
Sb  0.750  0.253  0.750
Sb  0.750  0.750  0.253

Values from the calculation:
Fermi-level density of states in states/eV/cell: 22.1
Total magnetic moment in Bohr magnetons per cell: 2.22
E_form (uncorrected) in kJ/mol of atoms: -107
E_tot in eV/atom: -5.7306



VASP calculation (PBE) on crystalline BaCa2HPd at its relaxed geometry.

a = 4.898 Å, b = 4.898 Å, c = 5.424 Å
α = 90.00°, β = 90.00°, γ = 90.00°
Positions (direct):
Ba  0.000  0.000  0.000
Ca  0.000  0.500  0.500
Ca  0.500  0.000  0.500
H  0.000  0.000  0.500
Pd  0.500  0.500  0.000

Values from the calculation:
Fermi-level density of states in states/eV/cell: 3.6
Total magnetic moment in Bohr magnetons per cell: 0.00
E_tot in eV/atom: -3.1364



VASP calculation (PBE) on crystalline CsYMgAg2 at its relaxed geometry.

a = 5.406 Å, b = 5.406 Å, c = 5.737 Å
α = 90.00°, β = 90.00°, γ = 90.00°
Positions (direct):
Cs  0.000  0.000  0.000
Y  0.500  0.500  0.000
Mg  0.500  0.500  0.500
Ag  0.000  0.500  0.500
Ag  0.500  0.000  0.500

Values from the calculation:
Fermi-level density of states in states/eV/cell: 5.5
Total magnetic moment in Bohr magnetons per cell: 0.01
E_tot in eV/atom: -2.4142



VASP calculation (PBE) on crystalline K2SiAgH6 at its relaxed geometry.

a = 5.623 Å, b = 5.623 Å, c = 5.623 Å
α = 120.48°, β = 120.48°, γ = 89.17°
Positions (direct):
K  0.250  0.750  0.500
K  0.750  0.250  0.500
Si  0.000  0.000  0.000
Ag  0.500  0.500  0.000
H  0.209  0.209  0.000
H  0.212  0.212  0.424
H  0.212  0.788  0.000
H  0.788  0.212  0.000
H  0.788  0.788  0.576
H  0.791  0.791  0.000

Values from the calculation:
Fermi-level density of states in states/eV/cell: 0.3
Total magnetic moment in Bohr magnetons per cell: 0.00
E_tot in eV/atom: -3.1227



VASP calculation (PBE) on crystalline LiYTl at its relaxed geometry.

a = 6.667 Å, b = 6.667 Å, c = 6.667 Å
α = 90.00°, β = 90.00°, γ = 90.00°
Positions (direct):
Li  0.000  0.000  0.000
Li  0.000  0.500  0.500
Li  0.500  0.000  0.500
Li  0.500  0.500  0.000
Y  0.250  0.250  0.750
Y  0.250  0.750  0.250
Y  0.750  0.250  0.250
Y  0.750  0.750  0.750
Tl  0.250  0.250  0.250
Tl  0.250  0.750  0.750
Tl  0.750  0.250  0.750
Tl  0.750  0.750  0.250

Values from the calculation:
Excess energy over the best structure of this formula in the dataset in eV/atom: 0.241
Fermi-level density of states in states/eV/cell: 10.2
Total magnetic moment in Bohr magnetons per cell: 0.00
E_tot in eV/atom: -3.6425